Compound: CrTcNi4
Source: Alexandria
Functional: PBE
Structure: relaxed

## Properties
As for the energy of formation: 0.69 eV per formula unit. The calculation puts the spin magnetization at 0.0 μB per formula unit. The value obtained for the total DFT energy (no corrections) is -7.070 eV/atom. As for the volume: 11.88 A^3/atom. The energy above the most stable polymorph in this dataset comes out at 139 meV per atom. The space group is F-43m (216).

Cell and atoms, written as POSCAR:
```
CrTcNi4
1.0
0.000 3.291 3.291
3.291 0.000 3.291
3.291 3.291 0.000
Cr Tc Ni
1 1 4
Direct
0.000 0.000 0.000
0.250 0.250 0.250
0.125 0.625 0.625
0.625 0.125 0.625
0.625 0.625 0.125
0.625 0.625 0.625
```

Compound: TlPtCl3
Source: Alexandria
Functional: PBE
Structure: relaxed

## Properties
The calculation puts the spin magnetization at 0.0 μB per formula unit. The value obtained for the total DFT energy (no corrections) is -3.302 eV/atom. As for the volume: 26.86 A^3/atom. As for the formation energy (no corrections): -0.512 eV/atom. The energy above the most stable polymorph in this dataset comes out at 28 meV per atom. The space group is P2_1/c (14).

Cell and atoms, written as POSCAR:
```
TlPtCl3
1.0
6.124 0.000 0.000
0.000 9.967 0.000
-4.751 0.000 8.802
Tl Pt Cl
4 4 12
Direct
0.155 0.047 0.265
0.155 0.453 0.765
0.845 0.547 0.235
0.845 0.953 0.735
0.154 0.634 0.132
0.154 0.866 0.632
0.846 0.134 0.368
0.846 0.366 0.868
0.095 0.179 0.966
0.095 0.321 0.466
0.369 0.688 0.003
0.369 0.812 0.503
0.436 0.035 0.756
0.436 0.465 0.256
0.564 0.535 0.744
0.564 0.965 0.244
0.631 0.188 0.497
0.631 0.312 0.997
0.905 0.679 0.534
0.905 0.821 0.034
```